No. 1
InRe2Pt (PBE, optimized geometry); total energy = -7.963 eV per atom; formation enthalpy at 0 K = 0.456 eV per atom
1.0
0.0000 3.2061 3.2061
3.2061 0.0000 3.2061
3.2061 3.2061 0.0000
In Re Pt
1 2 1
direct
0.0000 0.0000 0.0000
0.5000 0.5000 0.5000
0.7500 0.7500 0.7500
0.2500 0.2500 0.2500



No. 2
InRePt (PBE, optimized geometry); total energy = -6.594 eV per atom; energy above the lowest structure with this stoichiometry = 354 meV per atom; formation enthalpy at 0 K = 0.482 eV per atom
1.0
0.0000 3.1050 3.1050
3.1050 0.0000 3.1050
3.1050 3.1050 0.0000
In Re Pt
1 1 1
direct
0.0000 0.0000 0.0000
0.5000 0.5000 0.5000
0.7500 0.7500 0.7500



No. 3
InRe2Pt (PBE, optimized geometry); total energy = -8.279 eV per atom; formation enthalpy at 0 K = 0.140 eV per atom
1.0
2.8642 0.0000 0.0000
0.0000 3.9188 0.0000
0.0000 0.0000 5.8961
In Re Pt
1 2 1
direct
0.0000 0.0000 0.0000
0.0000 0.0000 0.5188
0.5000 0.5000 0.7019
0.5000 0.5000 0.2383



No. 4
InRe2Pt (PBE, optimized geometry); total energy = -8.172 eV per atom; formation enthalpy at 0 K = 0.247 eV per atom
1.0
4.6224 -1.4152 0.0000
4.6224 1.4152 0.0000
-0.7192 0.0000 5.0082
In Re Pt
1 2 1
direct
0.0000 0.0000 0.0000
0.2426 0.2426 0.6916
0.4970 0.4970 0.5109
0.7524 0.7524 0.2193



No. 5
InRePt (PBE, optimized geometry); total energy = -6.639 eV per atom; energy above the lowest structure with this stoichiometry = 308 meV per atom; formation enthalpy at 0 K = 0.437 eV per atom
1.0
4.6106 0.0000 0.0000
-2.3053 3.9929 0.0000
0.0000 0.0000 2.7794
In Re Pt
1 1 1
direct
0.0000 0.0000 0.0000
0.6667 0.3333 0.5000
0.3333 0.6667 0.0000



No. 6
InRe2Pt (PBE, optimized geometry); total energy = -6.648 eV per atom; formation enthalpy at 0 K = 1.771 eV per atom
1.0
-3.1344 3.1344 5.0267
3.1344 -3.1344 5.0267
3.1344 3.1344 -5.0267
In Re Pt
2 4 2
direct
0.0000 0.0000 0.0000
0.7500 0.2500 0.5000
0.1623 0.6250 0.0373
0.3750 0.4123 0.5373
0.5877 0.1250 0.9627
0.8750 0.8377 0.4627
0.2500 0.7500 0.5000
0.5000 0.5000 0.0000



No. 7
InRe2Pt (PBE, optimized geometry); total energy = -8.035 eV per atom; formation enthalpy at 0 K = 0.384 eV per atom
1.0
2.9714 0.0000 0.0000
0.0000 5.0002 0.0000
-0.1104 0.0000 4.5777
In Re Pt
1 2 1
direct
0.0000 0.0000 0.0000
0.3103 0.5000 0.2386
0.6897 0.5000 0.7614
0.5000 0.0000 0.5000



No. 8
InRe2Pt (PBE, optimized geometry); total energy = -8.149 eV per atom; formation enthalpy at 0 K = 0.270 eV per atom
1.0
4.7806 -1.4292 0.0000
4.7806 1.4292 0.0000
-0.8500 0.0000 4.7530
In Re Pt
1 2 1
direct
0.0000 0.0000 0.0000
0.2449 0.2449 0.7392
0.7551 0.7551 0.2608
0.5000 0.5000 0.5000



No. 9
InRe2Pt (PBE, optimized geometry); total energy = -7.984 eV per atom; formation enthalpy at 0 K = 0.435 eV per atom
1.0
2.7868 0.0000 0.0000
0.0000 2.7868 0.0000
0.0000 0.0000 8.4146
In Re Pt
1 2 1
direct
0.0000 0.0000 0.0000
0.5000 0.5000 0.2645
0.5000 0.5000 0.7355
0.0000 0.0000 0.5000



No. 10
InRe2Pt (PBE, optimized geometry); total energy = -8.310 eV per atom; formation enthalpy at 0 K = 0.109 eV per atom
1.0
1.4335 0.8276 9.2047
-1.4335 0.8276 9.2047
0.0000 -1.6553 9.2047
In Re Pt
1 2 1
direct
0.0000 0.0000 0.0000
0.2447 0.2447 0.2447
0.5031 0.5031 0.5031
0.7525 0.7525 0.7525



No. 11
InRe2Pt (PBE, optimized geometry); total energy = -8.121 eV per atom; formation enthalpy at 0 K = 0.298 eV per atom
1.0
-1.9384 2.1451 3.9516
1.9384 -2.1451 3.9516
1.9384 2.1451 -3.9516
In Re Pt
1 2 1
direct
0.0000 0.0000 0.0000
0.5200 0.5200 0.0000
0.7380 0.2380 0.5000
0.2560 0.7560 0.5000



No. 12
InRe4Pt (PBE, optimized geometry); total energy = -9.204 eV per atom; formation enthalpy at 0 K = 0.558 eV per atom
1.0
0.0000 3.7011 3.7011
3.7011 0.0000 3.7011
3.7011 3.7011 0.0000
In Re Pt
1 4 1
direct
0.0000 0.0000 0.0000
0.3763 0.3763 0.3763
0.3763 0.3763 0.8711
0.3763 0.8711 0.3763
0.8711 0.3763 0.3763
0.7500 0.7500 0.7500